[1]
Density functional theory data (PBE) for an optimized crystal structure of Mg3Cr.

Output
D(E_F)   2.55 states/eV per cell
Calculated total energy   -3.28 eV per atom
Symmetry   P-6m2
Energy of formation   0.32 eV/atom

Unit cell a=3.1231 b=3.1231 c=9.9331 alpha=90.00 beta=90.00 gamma=120.00
With the nearest neighbours (Å) after each atom.
Fractional coordinates of all 4 atoms:
Mg1 0.0000 0.0000 0.0000  12 Mg 3.12-3.20
Mg2 0.6667 0.3333 0.2664  3 Cr 2.94, 9 Mg 3.12-3.20
Mg3 0.6667 0.3333 0.7336  3 Cr 2.94, 9 Mg 3.12-3.20
Cr1 0.0000 0.0000 0.5000  6 Mg 2.94, 6 Cr 3.12



[2]
Density functional theory data (PBE) for an optimized crystal structure of MgCr2.

Output
Energy above the most stable polymorph in this dataset   0.839 eV per atom
D(E_F)   5.94 states/eV per cell
Calculated total energy   -5.80 eV per atom
Symmetry   I4/mcm
Energy of formation   1.14 eV/atom

Unit cell a=5.3991 b=5.3991 c=5.3991 alpha=105.55 beta=105.55 gamma=117.63
With the nearest neighbours (Å) after each atom.
Fractional coordinates of all 6 atoms:
Mg1 0.2500 0.2500 0.0000  2 Mg 2.80, 8 Cr 2.84
Mg2 0.7500 0.7500 0.0000  2 Mg 2.80, 8 Cr 2.84
Cr1 0.1533 0.6533 0.8066  1 Cr 2.83, 4 Mg 2.84
Cr2 0.3467 0.1533 0.5000  1 Cr 2.83, 4 Mg 2.84
Cr3 0.6533 0.8467 0.5000  1 Cr 2.83, 4 Mg 2.84
Cr4 0.8467 0.3467 0.1934  1 Cr 2.83, 4 Mg 2.84



[3]
Density functional theory data (PBE) for an optimized crystal structure of MgCr3.

Output
D(E_F)   8.06 states/eV per cell
Calculated total energy   -6.99 eV per atom
Symmetry   I4/mmm
Energy of formation   0.63 eV/atom

Unit cell a=8.4223 b=8.4223 c=8.4223 alpha=155.11 beta=155.11 gamma=35.48
With the nearest neighbours (Å) after each atom.
Fractional coordinates of all 8 atoms:
Mg1 0.1245 0.1245 0.0000  12 Cr 2.57-2.71
Mg2 0.8755 0.8755 0.0000  12 Cr 2.57-2.71
Cr1 0.0000 0.5000 0.5000  8 Cr 2.57-2.76, 4 Mg 2.70
Cr2 0.2500 0.7500 0.5000  8 Cr 2.57-2.65, 4 Mg 2.71
Cr3 0.3707 0.3707 0.0000  4 Mg 2.57, 8 Cr 2.65-2.76
Cr4 0.5000 0.0000 0.5000  8 Cr 2.57-2.76, 4 Mg 2.70
Cr5 0.6293 0.6293 0.0000  4 Mg 2.57, 8 Cr 2.65-2.76
Cr6 0.7500 0.2500 0.5000  8 Cr 2.57-2.65, 4 Mg 2.71



[4]
Density functional theory data (PBE) for an optimized crystal structure of Mg3Cr.

Output
D(E_F)   2.80 states/eV per cell
Calculated total energy   -3.26 eV per atom
Symmetry   R-3m
Energy of formation   0.35 eV/atom

Unit cell a=10.1981 b=10.1981 c=10.1981 alpha=17.45 beta=17.45 gamma=17.45
With the nearest neighbours (Å) after each atom.
Fractional coordinates of all 4 atoms:
Mg1 0.0000 0.0000 0.0000  12 Mg 3.09-3.24
Mg2 0.2435 0.2435 0.2435  3 Cr 2.92, 9 Mg 3.09-3.24
Mg3 0.7565 0.7565 0.7565  3 Cr 2.92, 9 Mg 3.09-3.24
Cr1 0.5000 0.5000 0.5000  6 Mg 2.92, 6 Cr 3.09



[5]
Density functional theory data (PBE) for an optimized crystal structure of Mg3Cr.

Output
D(E_F)   2.68 states/eV per cell
Calculated total energy   -3.33 eV per atom
Symmetry   P4/mmm
Energy of formation   0.27 eV/atom

Unit cell a=4.3670 b=4.3670 c=4.2943 alpha=90.00 beta=90.00 gamma=90.00
With the nearest neighbours (Å) after each atom.
Fractional coordinates of all 4 atoms:
Mg1 0.0000 0.0000 0.0000  8 Mg 3.06, 4 Cr 3.09
Mg2 0.0000 0.5000 0.5000  4 Cr 3.06, 8 Mg 3.06-3.09
Mg3 0.5000 0.0000 0.5000  4 Cr 3.06, 8 Mg 3.06-3.09
Cr1 0.5000 0.5000 0.0000  12 Mg 3.06-3.09



[6]
Density functional theory data (PBE) for an optimized crystal structure of MgCr2.

Output
Energy above the most stable polymorph in this dataset   0.188 eV per atom
D(E_F)   4.56 states/eV per cell
Calculated total energy   -6.45 eV per atom
Symmetry   Cm
Energy of formation   0.49 eV/atom

Unit cell a=5.3777 b=5.3777 c=6.3746 alpha=98.46 beta=98.46 gamma=31.57
With the nearest neighbours (Å) after each atom.
Fractional coordinates of all 6 atoms:
Mg1 0.0000 0.0000 0.0000  8 Cr 2.79-3.04, 4 Mg 2.93-3.09
Mg2 0.7129 0.7129 0.3100  8 Cr 2.81-3.02, 4 Mg 2.93-3.09
Cr1 0.2679 0.2679 0.9507  3 Cr 2.19-2.39
Cr2 0.3503 0.3503 0.6544  1 Cr 2.19
Cr3 0.6339 0.6339 0.7132  4 Cr 2.39-2.42
Cr4 0.9943 0.9943 0.4757  4 Cr 2.42-2.49



[7]
Density functional theory data (PBE) for an optimized crystal structure of MgCr2.

Output
Energy above the most stable polymorph in this dataset   0.010 eV per atom
D(E_F)   2.30 states/eV per cell
Calculated total energy   -6.63 eV per atom
Symmetry   I4/mmm
Energy of formation   0.31 eV/atom

Unit cell a=5.2587 b=5.2587 c=5.2587 alpha=146.89 beta=146.89 gamma=47.52
With the nearest neighbours (Å) after each atom.
Fractional coordinates of all 3 atoms:
Mg1 0.0000 0.0000 0.0000  10 Cr 2.86-2.89, 4 Mg 3.00
Cr1 0.3001 0.3001 0.0000  4 Cr 2.33
Cr2 0.6998 0.6998 0.0000  4 Cr 2.33



[8]
Density functional theory data (PBE) for an optimized crystal structure of Mg3Cr.

Output
D(E_F)   8.58 states/eV per cell
Calculated total energy   -3.32 eV per atom
Symmetry   Pnma
Energy of formation   0.29 eV/atom

Unit cell a=5.4670 b=9.9518 c=6.0822 alpha=90.00 beta=90.00 gamma=90.00
With the nearest neighbours (Å) after each atom.
Fractional coordinates of all 16 atoms:
Mg1 0.0579 0.2500 0.1114  4 Cr 2.98-3.11, 8 Mg 3.03-3.21
Mg2 0.2398 0.5085 0.3669  3 Cr 2.95-3.11, 9 Mg 3.03-3.28
Mg3 0.2398 0.9915 0.3669  3 Cr 2.95-3.11, 9 Mg 3.03-3.28
Mg4 0.2602 0.0085 0.8669  3 Cr 2.95-3.11, 9 Mg 3.03-3.28
Mg5 0.2602 0.4915 0.8669  3 Cr 2.95-3.11, 9 Mg 3.03-3.28
Mg6 0.4421 0.7500 0.6114  4 Cr 2.98-3.11, 8 Mg 3.03-3.21
Mg7 0.5579 0.2500 0.3886  4 Cr 2.98-3.11, 8 Mg 3.03-3.21
Mg8 0.7398 0.5085 0.1331  3 Cr 2.95-3.11, 9 Mg 3.03-3.28
Mg9 0.7398 0.9915 0.1331  3 Cr 2.95-3.11, 9 Mg 3.03-3.28
Mg10 0.7602 0.0085 0.6331  3 Cr 2.95-3.11, 9 Mg 3.03-3.28
Mg11 0.7602 0.4915 0.6331  3 Cr 2.95-3.11, 9 Mg 3.03-3.28
Mg12 0.9421 0.7500 0.8886  4 Cr 2.98-3.11, 8 Mg 3.03-3.21
Cr1 0.0707 0.2500 0.6099  10 Mg 2.95-3.11, 2 Cr 3.22
Cr2 0.4293 0.7500 0.1099  10 Mg 2.95-3.11, 2 Cr 3.22
Cr3 0.5707 0.2500 0.8901  10 Mg 2.95-3.11, 2 Cr 3.22
Cr4 0.9293 0.7500 0.3901  10 Mg 2.95-3.11, 2 Cr 3.22



- Which formula does entry 4 have?
  Mg3Cr



- Look up the D(E_F) of the first one.
  2.55 states/eV per cell



- What is the D(E_F) in the sixth record?
  4.56 states/eV per cell